The following is a DFT calculation (PBE) of an optimized crystal structure of BaNaSb2Au2.

Final energy ... -21.8 eV for the cell shown
ΔE_f (raw) ... -3.7 eV per formula unit

Cell lengths 4.7129, 4.7129, 9.0543 Å; angles 90.00, 90.00, 120.00 degrees
Closest atoms and distances in Å follow each position.
Positions (direct):
Au (0.6667, 0.3333, 0.2788)  3 Sb 2.72
Ba (0.0000, 0.0000, 0.0000)  6 Sb 3.64, 6 Au 3.71
Sb (0.6667, 0.3333, 0.7335)  3 Au 2.72
Au (0.3333, 0.6667, 0.7212)  3 Sb 2.72
Sb (0.3333, 0.6667, 0.2665)  3 Au 2.72
Na (0.0000, 0.0000, 0.5000)  6 Au 3.38, 6 Sb 3.45

***

The following is a DFT calculation (PBE) of an optimized crystal structure of Hf2CdPb2.

Energy relative to the lowest polymorph listed for this composition ... 0.000 eV/atom
Final energy ... -55.0 eV for the cell shown
Energy of formation from the pure elements ... 0.152 eV per atom

Cell lengths 7.8599, 7.8599, 4.0252 Å; angles 90.00, 90.00, 90.00 degrees
Closest atoms and distances in Å follow each position.
Positions (direct):
Hf (0.6352, 0.1352, 0.0000)  6 Pb 2.97-3.13, 1 Hf 3.00, 2 Cd 3.06
Pb (0.6683, 0.8317, 0.5000)  6 Hf 2.97-3.13
Pb (0.1683, 0.6683, 0.5000)  6 Hf 2.97-3.13
Hf (0.3648, 0.8648, 0.0000)  6 Pb 2.97-3.13, 1 Hf 3.00, 2 Cd 3.06
Pb (0.3317, 0.1683, 0.5000)  6 Hf 2.97-3.13
Cd (0.5000, 0.5000, 0.0000)  4 Hf 3.06
Cd (0.0000, 0.0000, 0.0000)  4 Hf 3.06
Pb (0.8317, 0.3317, 0.5000)  6 Hf 2.97-3.13
Hf (0.1352, 0.3648, 0.0000)  6 Pb 2.97-3.13, 1 Hf 3.00, 2 Cd 3.06
Hf (0.8648, 0.6352, 0.0000)  6 Pb 2.97-3.13, 1 Hf 3.00, 2 Cd 3.06

***

The following is a DFT calculation (PBE) of an optimized crystal structure of LaMnHg2Sb.

Final energy ... -14.1 eV for the cell shown
ΔE_f (raw) ... 4.7 eV per formula unit

Cell lengths 5.9287, 4.9154, 5.9287 Å; angles 90.00, 90.00, 90.00 degrees
Closest atoms and distances in Å follow each position.
Positions (direct):
Hg (0.0000, 0.0000, 0.5000)  2 La 2.96
Mn (0.0000, 0.5000, 0.0000)  2 La 2.46
La (0.0000, 0.0000, 0.0000)  2 Mn 2.46
Hg (0.5000, 0.0000, 0.0000)  2 La 2.96
Sb (0.5000, 0.5000, 0.5000)  8 Hg 3.85, 4 Mn 4.19

***

The following is a DFT calculation (PBE) of an optimized crystal structure of PmThZnRu.

Final energy ... -23.8 eV for the cell shown
Energy of formation from the pure elements ... -0.260 eV per atom

Cell lengths 5.0775, 5.0775, 5.0775 Å; angles 60.00, 60.00, 60.00 degrees
Closest atoms and distances in Å follow each position.
Positions (direct):
Ru (0.7500, 0.7500, 0.7500)  4 Th 3.11, 4 Pm 3.11
Th (0.0000, 0.0000, 0.0000)  4 Ru 3.11, 4 Zn 3.11
Pm (0.5000, 0.5000, 0.5000)  4 Zn 3.11, 4 Ru 3.11
Zn (0.2500, 0.2500, 0.2500)  4 Th 3.11, 4 Pm 3.11

***

The following is a DFT calculation (PBE) of an optimized crystal structure of Ba3PaTl2O8.

Final energy ... -89.7 eV for the cell shown
ΔE_f (raw) ... -30.0 eV per formula unit

Cell lengths 6.2702, 6.2702, 8.1463 Å; angles 90.00, 90.00, 120.00 degrees
Closest atoms and distances in Å follow each position.
Positions (direct):
O (0.6778, 0.8389, 0.3433)  1 Pa 2.17, 1 Tl 2.29
Tl (0.3333, 0.6667, 0.1817)  4 O 2.10-2.29
O (0.1611, 0.8389, 0.3433)  1 Pa 2.17, 1 Tl 2.29
Ba (0.0000, 0.0000, 0.0000)  12 O 3.30-3.67
O (0.6667, 0.3333, 0.0761)  1 Tl 2.10
O (0.3222, 0.1611, 0.6567)  1 Pa 2.17, 1 Tl 2.29
Pa (0.0000, 0.0000, 0.5000)  6 O 2.17
Tl (0.6667, 0.3333, 0.8183)  4 O 2.10-2.29
O (0.8389, 0.6778, 0.6567)  1 Pa 2.17, 1 Tl 2.29
Ba (0.3333, 0.6667, 0.6265)  1 O 2.42
O (0.8389, 0.1611, 0.6567)  1 Pa 2.17, 1 Tl 2.29
O (0.3333, 0.6667, 0.9239)  1 Tl 2.10
Ba (0.6667, 0.3333, 0.3735)  1 O 2.42
O (0.1611, 0.3222, 0.3433)  1 Pa 2.17, 1 Tl 2.29

***

The following is a DFT calculation (PBE) of an optimized crystal structure of GaBN2.

Final energy ... -27.9 eV for the cell shown
ΔE_f (raw) ... -1.5 eV per formula unit

Cell lengths 5.1231, 5.1231, 5.1231 Å; angles 35.98, 35.98, 35.98 degrees
Closest atoms and distances in Å follow each position.
Positions (direct):
N (0.0932, 0.0932, 0.0932)  1 B 1.34
B (0.0000, 0.0000, 0.0000)  2 N 1.34
N (0.9068, 0.9068, 0.9068)  1 B 1.34
Ga (0.5000, 0.5000, 0.5000)  6 N 2.11

***

The following is a DFT calculation (PBE) of an optimized crystal structure of LiSm2Ni16.

Final energy ... -107.5 eV for the cell shown
Energy of formation from the pure elements ... -0.191 eV per atom

Cell lengths 6.2859, 6.2859, 6.2859 Å; angles 83.30, 83.30, 83.30 degrees
Closest atoms and distances in Å follow each position.
Positions (direct):
Sm (0.6574, 0.6574, 0.6574)  18 Ni 2.96-3.24, 1 Li 3.01
Ni (0.1548, 0.6559, 0.6559)  8 Ni 2.43-2.54, 1 Li 2.61
Sm (0.3396, 0.3396, 0.3396)  19 Ni 2.94-3.19
Ni (0.8463, 0.3435, 0.3435)  9 Ni 2.39-2.59
Ni (0.9998, 0.2950, 0.7053)  8 Ni 2.37-2.54
Ni (0.0019, 0.4959, 0.0019)  9 Ni 2.37-2.53, 1 Li 2.60
Ni (0.0019, 0.0019, 0.4959)  9 Ni 2.37-2.53, 1 Li 2.60
Ni (0.2950, 0.7053, 0.9998)  8 Ni 2.37-2.54
Ni (0.4959, 0.0019, 0.0019)  9 Ni 2.37-2.53, 1 Li 2.60
Ni (0.7053, 0.2950, 0.9998)  8 Ni 2.37-2.54
Ni (0.2950, 0.9998, 0.7053)  8 Ni 2.37-2.54
Ni (0.9998, 0.7053, 0.2950)  8 Ni 2.37-2.54
Ni (0.3435, 0.3435, 0.8463)  9 Ni 2.39-2.59
Ni (0.7053, 0.9998, 0.2950)  8 Ni 2.37-2.54
Ni (0.3435, 0.8463, 0.3435)  9 Ni 2.39-2.59
Li (0.9063, 0.9063, 0.9063)  1 Ni 2.30
Ni (0.6559, 0.6559, 0.1548)  8 Ni 2.43-2.54, 1 Li 2.61
Ni (0.0968, 0.0968, 0.0968)  1 Li 2.30, 3 Ni 2.53
Ni (0.6559, 0.1548, 0.6559)  8 Ni 2.43-2.54, 1 Li 2.61

***

The following is a DFT calculation (PBE) of an optimized crystal structure of Na3Np3Te8Au.

Final energy ... -80.4 eV for the cell shown
ΔE_f (raw) ... -9.2 eV per formula unit

Cell lengths 8.8905, 8.6669, 9.0127 Å; angles 117.70, 90.00, 120.86 degrees
Closest atoms and distances in Å follow each position.
Positions (direct):
Te (0.2545, 0.9835, 0.7361)  2 Np 3.03-3.05, 1 Au 3.21, 2 Na 3.25-3.29
Na (0.5000, 0.5000, 0.0000)  6 Te 3.23-3.26
Na (0.0000, 0.0000, 0.0000)  6 Te 3.19-3.29
Te (0.7455, 0.0165, 0.2639)  2 Np 3.03-3.05, 1 Au 3.21, 2 Na 3.25-3.29
Te (0.2535, 0.5069, 0.2631)  3 Np 3.09-3.10, 3 Na 3.19-3.23
Te (0.2710, 0.0165, 0.2639)  2 Np 3.03-3.05, 1 Au 3.21, 2 Na 3.25-3.29
Np (0.5000, 0.5000, 0.5000)  6 Te 3.03-3.12
Te (0.7465, 0.4931, 0.7369)  3 Np 3.09-3.10, 3 Na 3.19-3.23
Te (0.7798, 0.5595, 0.2879)  1 Au 2.76
Np (0.5000, 0.0000, 0.5000)  6 Te 3.05-3.09
Np (0.0000, 0.5000, 0.5000)  6 Te 3.03-3.12
Na (0.0000, 0.5000, 0.0000)  6 Te 3.23-3.26
Te (0.7290, 0.9835, 0.7361)  2 Np 3.03-3.05, 1 Au 3.21, 2 Na 3.25-3.29
Te (0.2202, 0.4405, 0.7121)  1 Au 2.76
Au (0.0000, 0.0000, 0.5000)  2 Te 2.76